A geometry-optimized Mn2OsPb structure, computed with PBEsol.

Summary:
The value obtained for the energy of formation from the pure elements is 0.528 eV per atom. Its electronic total energy is -8.41 eV per atom. The total magnetization is 1.528 μB/atom. The space group is P4/mmm. The density of states at the Fermi level is 4.6 states/eV per cell.

a b c (Å): 2.9292 2.9292 7.6359
angles (deg): 90.00 90.00 90.00
Last column: nearest neighbours and their distance in Å.
Fractional coordinates of all 4 atoms:
Os: 0.5000 0.5000 0.0000  8 Mn 2.59
Mn: 0.0000 0.0000 0.7973  4 Os 2.59
Mn: 0.0000 0.0000 0.2027  4 Os 2.59
Pb: 0.5000 0.5000 0.5000  4 Pb 2.93, 8 Mn 3.07

A geometry-optimized Mn2OsPb structure, computed with PBEsol.

Summary:
The value obtained for the energy of formation from the pure elements is 0.671 eV per atom. Its electronic total energy is -8.26 eV per atom. The total magnetization is 1.492 μB/atom. The space group is I4/mmm. The density of states at the Fermi level is 3.9 states/eV per cell.

a b c (Å): 4.0395 4.0395 4.6762
angles (deg): 115.59 115.59 90.00
Last column: nearest neighbours and their distance in Å.
Fractional coordinates of all 4 atoms:
Pb: 0.0000 0.0000 0.0000  8 Mn 2.74, 4 Os 2.86
Mn: 0.2500 0.7500 0.5000  4 Pb 2.74, 4 Os 2.74, 4 Mn 2.86
Mn: 0.7500 0.2500 0.5000  4 Pb 2.74, 4 Os 2.74, 4 Mn 2.86
Os: 0.5000 0.5000 0.0000  8 Mn 2.74, 4 Pb 2.86

A geometry-optimized Mn2OsPb structure, computed with PBEsol.

Summary:
The value obtained for the energy of formation from the pure elements is 0.632 eV per atom. Its electronic total energy is -8.30 eV per atom. The total magnetization is 1.440 μB/atom. The space group is P4/mmm. The density of states at the Fermi level is 3.8 states/eV per cell.

a b c (Å): 3.9318 3.9070 3.9070
angles (deg): 90.00 90.00 90.00
Last column: nearest neighbours and their distance in Å.
Fractional coordinates of all 4 atoms:
Pb: 0.5000 0.0000 0.0000  4 Os 2.76, 8 Mn 2.77
Os: 0.5000 0.5000 0.5000  4 Pb 2.76, 8 Mn 2.77
Mn: 0.0000 0.0000 0.5000  4 Mn 2.76, 4 Pb 2.77, 4 Os 2.77
Mn: 0.0000 0.5000 0.0000  4 Mn 2.76, 4 Pb 2.77, 4 Os 2.77